(1)
# PBE-GGA InMoAs2Se, optimized geometry
# **DOS(E_F)**: 1.050 states/eV/atom
# **Energy**: -4.99 eV/atom
# **Crystal system**: tetragonal
# **Energy above the lowest structure with this stoichiometry**: 0 meV/atom
# **Raw formation energy**: 0.285 eV per atom
data_InMoAs2Se
_chemical_formula_sum 'In1 Mo1 As2 Se1'
_cell_length_a 5.1697
_cell_length_b 5.1697
_cell_length_c 5.1088
_cell_angle_alpha 90.00
_cell_angle_beta 90.00
_cell_angle_gamma 90.00
_symmetry_space_group_name_H-M 'P 4/m m m'
_symmetry_Int_Tables_number 123
_symmetry_space_group_name_Hall '-P 4 2'
loop_
_atom_site_label
_atom_site_type_symbol
_atom_site_fract_x
_atom_site_fract_y
_atom_site_fract_z
_atom_site_occupancy
In1 In 0.0000 0.0000 0.0000 1
Mo1 Mo 0.5000 0.5000 0.5000 1
As1 As 0.0000 0.5000 0.5000 1
Se1 Se 0.5000 0.5000 0.0000 1



(2)
# PBE-GGA LuTh2Sb, optimized geometry
# **DOS(E_F)**: 0.947 states/eV/atom
# **Energy**: -6.28 eV/atom
# **Crystal system**: tetragonal
# **Energy above the lowest structure with this stoichiometry**: 0 meV/atom
# **Raw formation energy**: -0.412 eV per atom
data_LuTh2Sb
_chemical_formula_sum 'Lu1 Th2 Sb1'
_cell_length_a 4.7546
_cell_length_b 4.7546
_cell_length_c 5.0303
_cell_angle_alpha 90.00
_cell_angle_beta 90.00
_cell_angle_gamma 90.00
_symmetry_space_group_name_H-M 'P 4/m m m'
_symmetry_Int_Tables_number 123
_symmetry_space_group_name_Hall '-P 4 2'
loop_
_atom_site_label
_atom_site_type_symbol
_atom_site_fract_x
_atom_site_fract_y
_atom_site_fract_z
_atom_site_occupancy
Lu1 Lu 0.0000 0.0000 0.0000 1
Th1 Th 0.0000 0.5000 0.5000 1
Sb1 Sb 0.5000 0.5000 0.0000 1



(3)
# PBE-GGA Te2Rh, optimized geometry
# **DOS(E_F)**: 1.067 states/eV/atom
# **Energy**: -4.30 eV/atom
# **Crystal system**: hexagonal
# **Raw formation energy**: 0.241 eV per atom
data_Te2Rh
_chemical_formula_sum 'Te4 Rh2'
_cell_length_a 4.5243
_cell_length_b 4.5243
_cell_length_c 8.0959
_cell_angle_alpha 90.00
_cell_angle_beta 90.00
_cell_angle_gamma 120.00
_symmetry_space_group_name_H-M 'P 63/m m c'
_symmetry_Int_Tables_number 194
_symmetry_space_group_name_Hall '-P 6c 2c'
loop_
_atom_site_label
_atom_site_type_symbol
_atom_site_fract_x
_atom_site_fract_y
_atom_site_fract_z
_atom_site_occupancy
Te1 Te 0.0000 0.0000 0.0000 1
Te2 Te 0.3333 0.6667 0.2500 1
Rh1 Rh 0.3333 0.6667 0.7500 1



(4)
# PBE-GGA RbCeReO6, optimized geometry
# **DOS(E_F)**: 0.000 states/eV/atom
# **Energy**: -7.68 eV/atom
# **Crystal system**: trigonal
# **Raw formation energy**: -2.222 eV per atom
data_RbCeReO6
_chemical_formula_sum 'Rb1 Ce1 Re1 O6'
_cell_length_a 5.6768
_cell_length_b 5.6768
_cell_length_c 6.1402
_cell_angle_alpha 90.00
_cell_angle_beta 90.00
_cell_angle_gamma 120.00
_symmetry_space_group_name_H-M 'P 3 1 2'
_symmetry_Int_Tables_number 149
loop_
_symmetry_equiv_pos_as_xyz
'x,y,z'
'-y,x-y,z'
'-x+y,-x,z'
'-y,-x,-z'
'-x+y,y,-z'
'x,x-y,-z'
loop_
_atom_site_label
_atom_site_type_symbol
_atom_site_fract_x
_atom_site_fract_y
_atom_site_fract_z
_atom_site_occupancy
Rb1 Rb 0.0000 0.0000 0.0000 1
Ce1 Ce 0.3333 0.6667 0.5000 1
Re1 Re 0.6667 0.3333 0.5000 1
O1 O 0.4087 0.0438 0.6776 1



(5)
# PBE-GGA PmGaIr2, optimized geometry
# **DOS(E_F)**: 0.296 states/eV/atom
# **Energy**: -6.73 eV/atom
# **Crystal system**: cubic
# **Energy of formation from the pure elements**: -0.352 eV per atom
data_PmGaIr2
_chemical_formula_sum 'Pm4 Ga4 Ir8'
_cell_length_a 6.6095
_cell_length_b 6.6095
_cell_length_c 6.6095
_cell_angle_alpha 90.00
_cell_angle_beta 90.00
_cell_angle_gamma 90.00
_symmetry_space_group_name_H-M 'F m -3 m'
_symmetry_Int_Tables_number 225
_symmetry_space_group_name_Hall '-F 4 2 3'
loop_
_atom_site_label
_atom_site_type_symbol
_atom_site_fract_x
_atom_site_fract_y
_atom_site_fract_z
_atom_site_occupancy
Pm1 Pm 0.0000 0.0000 0.0000 1
Ga1 Ga 0.0000 0.0000 0.5000 1
Ir1 Ir 0.2500 0.2500 0.2500 1



(6)
# PBE-GGA KYAl2, optimized geometry
# **DOS(E_F)**: 0.714 states/eV/atom
# **Energy**: -3.23 eV/atom
# **Crystal system**: tetragonal
# **Energy above the lowest structure with this stoichiometry**: 533 meV/atom
# **Energy of formation from the pure elements**: 0.534 eV per atom
data_KYAl2
_chemical_formula_sum 'K4 Y4 Al8'
_cell_length_a 8.5399
_cell_length_b 8.5399
_cell_length_c 6.5907
_cell_angle_alpha 90.00
_cell_angle_beta 90.00
_cell_angle_gamma 90.00
_symmetry_space_group_name_H-M 'I -4 2 d'
_symmetry_Int_Tables_number 122
_symmetry_space_group_name_Hall 'I -4 2bw'
loop_
_atom_site_label
_atom_site_type_symbol
_atom_site_fract_x
_atom_site_fract_y
_atom_site_fract_z
_atom_site_occupancy
K1 K 0.0000 0.0000 0.0000 1
Y1 Y 0.0000 0.0000 0.5000 1
Al1 Al 0.2263 0.2500 0.6250 1



(7)
# PBE-GGA HIrC2S, optimized geometry
# **DOS(E_F)**: 0.363 states/eV/atom
# **Energy**: -4.61 eV/atom
# **Crystal system**: tetragonal
data_HIrC2S
_chemical_formula_sum 'H1 Ir1 C2 S1'
_cell_length_a 3.3617
_cell_length_b 3.3617
_cell_length_c 4.7213
_cell_angle_alpha 90.00
_cell_angle_beta 90.00
_cell_angle_gamma 90.00
_symmetry_space_group_name_H-M 'P 4/m m m'
_symmetry_Int_Tables_number 123
_symmetry_space_group_name_Hall '-P 4 2'
loop_
_atom_site_label
_atom_site_type_symbol
_atom_site_fract_x
_atom_site_fract_y
_atom_site_fract_z
_atom_site_occupancy
H1 H 0.0000 0.0000 0.0000 1
Ir1 Ir 0.5000 0.5000 0.0000 1
C1 C 0.0000 0.5000 0.5000 1
S1 S 0.5000 0.5000 0.5000 1



(8)
# PBE-GGA LiDy5Cd6, optimized geometry
# **DOS(E_F)**: 0.848 states/eV/atom
# **Energy**: -2.83 eV/atom
# **Crystal system**: orthorhombic
# **Energy of formation from the pure elements**: -0.299 eV per atom
data_LiDy5Cd6
_chemical_formula_sum 'Li2 Dy10 Cd12'
_cell_length_a 5.2046
_cell_length_b 7.4374
_cell_length_c 15.5925
_cell_angle_alpha 90.00
_cell_angle_beta 90.00
_cell_angle_gamma 90.00
_symmetry_space_group_name_H-M 'I m m m'
_symmetry_Int_Tables_number 71
_symmetry_space_group_name_Hall '-I 2 2'
loop_
_atom_site_label
_atom_site_type_symbol
_atom_site_fract_x
_atom_site_fract_y
_atom_site_fract_z
_atom_site_occupancy
Li1 Li 0.0000 0.0000 0.0000 1
Dy1 Dy 0.0000 0.0000 0.3352 1
Dy2 Dy 0.0000 0.5000 0.0000 1
Dy3 Dy 0.0000 0.5000 0.3277 1
Cd1 Cd 0.0000 0.2330 0.1576 1
Cd2 Cd 0.0000 0.2714 0.5000 1



(9)
# PBE-GGA Nd8Y2Th3, optimized geometry
# **DOS(E_F)**: 1.587 states/eV/atom
# **Energy**: -5.41 eV/atom
# **Crystal system**: monoclinic
# **Energy of formation from the pure elements**: 0.235 eV per atom
data_Nd8Y2Th3
_chemical_formula_sum 'Nd16 Y4 Th6'
_cell_length_a 10.0529
_cell_length_b 11.0929
_cell_length_c 8.8108
_cell_angle_alpha 90.00
_cell_angle_beta 112.83
_cell_angle_gamma 90.00
_symmetry_space_group_name_H-M 'C 1 2/m 1'
_symmetry_Int_Tables_number 12
loop_
_symmetry_equiv_pos_as_xyz
'x,y,z'
'-x,-y,-z'
'-x,y,-z'
'x,-y,z'
'x+1/2,y+1/2,z'
'-x+1/2,-y+1/2,-z'
'-x+1/2,y+1/2,-z'
'x+1/2,-y+1/2,z'
loop_
_atom_site_label
_atom_site_type_symbol
_atom_site_fract_x
_atom_site_fract_y
_atom_site_fract_z
_atom_site_occupancy
Nd1 Nd 0.0905 0.0000 0.3446 1
Nd2 Nd 0.1012 0.5000 0.2171 1
Nd3 Nd 0.1616 0.2426 0.6803 1
Y1 Y 0.2324 0.0000 0.0421 1
Th1 Th 0.0000 0.2386 0.0000 1
Th2 Th 0.0000 0.5000 0.5000 1



(10)
# PBE-GGA Ce3Pu2Ru3, optimized geometry
# **DOS(E_F)**: 1.958 states/eV/atom
# **Energy**: -9.47 eV/atom
# **Crystal system**: monoclinic
# **Energy above the lowest structure with this stoichiometry**: 23 meV/atom
# **Energy of formation from the pure elements**: -0.181 eV per atom
data_Ce3Pu2Ru3
_chemical_formula_sum 'Ce12 Pu8 Ru12'
_cell_length_a 4.7058
_cell_length_b 9.9292
_cell_length_c 14.3130
_cell_angle_alpha 90.00
_cell_angle_beta 90.05
_cell_angle_gamma 90.00
_symmetry_space_group_name_H-M 'C 1 2/c 1'
_symmetry_Int_Tables_number 15
loop_
_symmetry_equiv_pos_as_xyz
'x,y,z'
'-x,-y,-z'
'-x,y,-z+1/2'
'x,-y,z+1/2'
'x+1/2,y+1/2,z'
'-x+1/2,-y+1/2,-z'
'-x+1/2,y+1/2,-z+1/2'
'x+1/2,-y+1/2,z+1/2'
loop_
_atom_site_label
_atom_site_type_symbol
_atom_site_fract_x
_atom_site_fract_y
_atom_site_fract_z
_atom_site_occupancy
Ce1 Ce 0.0000 0.0574 0.2500 1
Ce2 Ce 0.0000 0.1347 0.5358 1
Pu1 Pu 0.0002 0.3363 0.1450 1
Ru1 Ru 0.0000 0.2282 0.7500 1
Ru2 Ru 0.0000 0.4035 0.5852 1



(11)
# PBE-GGA Sm2Dy13, optimized geometry
# **DOS(E_F)**: 1.862 states/eV/atom
# **Energy**: -4.57 eV/atom
# **Crystal system**: triclinic
# **Energy of formation from the pure elements**: 0.048 eV per atom
data_Sm2Dy13
_chemical_formula_sum 'Sm2 Dy13'
_cell_length_a 6.6140
_cell_length_b 8.7212
_cell_length_c 8.9834
_cell_angle_alpha 69.09
_cell_angle_beta 83.76
_cell_angle_gamma 80.63
_symmetry_space_group_name_H-M 'P -1'
_symmetry_Int_Tables_number 2
loop_
_symmetry_equiv_pos_as_xyz
'x,y,z'
'-x,-y,-z'
loop_
_atom_site_label
_atom_site_type_symbol
_atom_site_fract_x
_atom_site_fract_y
_atom_site_fract_z
_atom_site_occupancy
Sm1 Sm 0.1995 0.3044 0.3978 1
Dy1 Dy 0.0000 0.5000 0.0000 1
Dy2 Dy 0.0962 0.9235 0.6930 1
Dy3 Dy 0.1340 0.6968 0.2660 1
Dy4 Dy 0.2375 0.0757 0.9751 1
Dy5 Dy 0.3340 0.4991 0.6681 1
Dy6 Dy 0.4295 0.9224 0.3589 1
Dy7 Dy 0.4674 0.6969 0.9349 1



(12)
# PBE-GGA DyTlSnHg, optimized geometry
# **DOS(E_F)**: 0.605 states/eV/atom
# **Energy**: -3.01 eV/atom
# **Crystal system**: cubic
# **Energy of formation from the pure elements**: -0.193 eV per atom
data_DyTlSnHg
_chemical_formula_sum 'Dy4 Tl4 Sn4 Hg4'
_cell_length_a 7.5970
_cell_length_b 7.5970
_cell_length_c 7.5970
_cell_angle_alpha 90.00
_cell_angle_beta 90.00
_cell_angle_gamma 90.00
_symmetry_space_group_name_H-M 'F -4 3 m'
_symmetry_Int_Tables_number 216
_symmetry_space_group_name_Hall 'F -4 2 3'
loop_
_atom_site_label
_atom_site_type_symbol
_atom_site_fract_x
_atom_site_fract_y
_atom_site_fract_z
_atom_site_occupancy
Dy1 Dy 0.0000 0.0000 0.0000 1
Tl1 Tl 0.0000 0.0000 0.5000 1
Sn1 Sn 0.2500 0.2500 0.7500 1
Hg1 Hg 0.2500 0.2500 0.2500 1